The following is a GGA+U calculation of crystalline Pm2VPbO6 at its relaxed geometry, from Alexandria.

Calculated values
Total magnetic moment, μB per formula unit: 1.0
E, eV per atom: -7.38

Geometry as POSCAR:
```
Pm2VPbO6
1.0
5.495 0.000 0.000
0.000 5.495 0.000
0.000 0.000 5.549
Pm V Pb O
2 1 1 6
Cartesian
0.000 2.747 0.000
2.747 0.000 0.000
0.000 0.000 3.517
2.747 2.747 3.094
0.000 0.000 1.747
1.254 1.254 4.306
1.254 4.240 4.306
2.747 2.747 0.758
4.240 1.254 4.306
4.240 4.240 4.306
```